1.
The following is a DFT calculation (PBE) of LiAc3Pb2 after structural relaxation.

Computed properties:
The energy relative to the elements comes out at -0.454 eV/atom.

Cell lengths 13.3543, 4.9269, 13.0037 Å; angles 90.00, 90.00, 90.00 degrees
With the nearest neighbours (Å) after each atom.
Positions (direct):
Li (0.1243, 0.2500, 0.1191)  3 Pb 2.91-2.94
Li (0.3757, 0.7500, 0.6191)  3 Pb 2.91-2.94
Li (0.6243, 0.2500, 0.3809)  3 Pb 2.91-2.94
Li (0.8757, 0.7500, 0.8809)  3 Pb 2.91-2.94
Ac (0.0490, 0.2500, 0.3729)  1 Li 3.45, 5 Pb 3.50-3.59
Ac (0.1330, 0.7500, 0.9291)  5 Pb 3.49-3.54, 3 Li 3.49
Ac (0.2108, 0.2500, 0.6948)  2 Li 3.45, 4 Pb 3.54-3.58
Ac (0.2892, 0.7500, 0.1948)  2 Li 3.45, 4 Pb 3.54-3.58
Ac (0.3670, 0.2500, 0.4291)  5 Pb 3.49-3.54, 3 Li 3.49
Ac (0.4510, 0.7500, 0.8729)  1 Li 3.45, 5 Pb 3.50-3.59
Ac (0.5490, 0.2500, 0.1271)  1 Li 3.45, 5 Pb 3.50-3.59
Ac (0.6330, 0.7500, 0.5709)  5 Pb 3.49-3.54, 3 Li 3.49
Ac (0.7108, 0.2500, 0.8052)  2 Li 3.45, 4 Pb 3.54-3.58
Ac (0.7892, 0.7500, 0.3052)  2 Li 3.45, 4 Pb 3.54-3.58
Ac (0.8670, 0.2500, 0.0709)  5 Pb 3.49-3.54, 3 Li 3.49
Ac (0.9510, 0.7500, 0.6271)  1 Li 3.45, 5 Pb 3.50-3.59
Pb (0.0217, 0.7500, 0.1744)  2 Li 2.91
Pb (0.1891, 0.7500, 0.4989)  1 Li 2.94
Pb (0.3109, 0.2500, 0.9989)  1 Li 2.94
Pb (0.4783, 0.2500, 0.6744)  2 Li 2.91
Pb (0.5217, 0.7500, 0.3256)  2 Li 2.91
Pb (0.6891, 0.7500, 0.0011)  1 Li 2.94
Pb (0.8109, 0.2500, 0.5011)  1 Li 2.94
Pb (0.9783, 0.2500, 0.8256)  2 Li 2.91

---

2.
The following is a DFT calculation (PBE) of Ba2AgSnPb6 after structural relaxation.

Computed properties:
The energy relative to the elements comes out at -0.150 eV/atom.

Cell lengths 15.1792, 15.1792, 15.1792 Å; angles 28.96, 28.96, 28.96 degrees
With the nearest neighbours (Å) after each atom.
Positions (direct):
Ba (0.1159, 0.1159, 0.1159)  12 Pb 3.89-4.30
Ba (0.2872, 0.2872, 0.2872)  12 Pb 3.84-4.23
Ba (0.7128, 0.7128, 0.7128)  12 Pb 3.84-4.23
Ba (0.8841, 0.8841, 0.8841)  12 Pb 3.89-4.30
Ag (0.0000, 0.0000, 0.0000)  6 Pb 2.94
Ag (0.5000, 0.5000, 0.5000)  6 Pb 2.94, 2 Sn 3.18
Sn (0.4270, 0.4270, 0.4270)  6 Pb 3.10-3.15, 1 Ag 3.18
Sn (0.5730, 0.5730, 0.5730)  6 Pb 3.10-3.15, 1 Ag 3.18
Pb (0.0774, 0.6619, 0.6619)  1 Ag 2.94, 1 Sn 3.10, 2 Pb 3.15
Pb (0.2256, 0.2256, 0.6558)  1 Ag 2.94, 1 Sn 3.15, 2 Pb 3.27
Pb (0.2256, 0.6559, 0.2256)  1 Ag 2.94, 1 Sn 3.15, 2 Pb 3.27
Pb (0.3381, 0.3381, 0.9226)  1 Ag 2.94, 1 Sn 3.10, 2 Pb 3.15
Pb (0.3381, 0.9226, 0.3381)  1 Ag 2.94, 1 Sn 3.10, 2 Pb 3.15
Pb (0.3441, 0.7744, 0.7744)  1 Ag 2.94, 1 Sn 3.15, 2 Pb 3.27
Pb (0.6559, 0.2256, 0.2256)  1 Ag 2.94, 1 Sn 3.15, 2 Pb 3.27
Pb (0.6619, 0.0774, 0.6619)  1 Ag 2.94, 1 Sn 3.10, 2 Pb 3.15
Pb (0.6619, 0.6619, 0.0774)  1 Ag 2.94, 1 Sn 3.10, 2 Pb 3.15
Pb (0.7744, 0.3441, 0.7744)  1 Ag 2.94, 1 Sn 3.15, 2 Pb 3.27
Pb (0.7744, 0.7744, 0.3441)  1 Ag 2.94, 1 Sn 3.15, 2 Pb 3.27
Pb (0.9226, 0.3381, 0.3381)  1 Ag 2.94, 1 Sn 3.10, 2 Pb 3.15

---

3.
The following is a DFT calculation (PBE) of TaTlMo2 after structural relaxation.

Computed properties:
The energy relative to the elements comes out at 0.426 eV/atom.

Cell lengths 5.4145, 5.4145, 5.4145 Å; angles 143.70, 129.24, 63.99 degrees
With the nearest neighbours (Å) after each atom.
Positions (direct):
Ta (0.0000, 0.0000, 0.0000)  4 Mo 2.74, 4 Tl 2.87
Tl (0.5000, 0.5000, 0.0000)  4 Ta 2.87, 8 Mo 2.96-3.17
Mo (0.2353, 0.7353, 0.5000)  2 Ta 2.74, 4 Mo 2.88, 2 Tl 2.96
Mo (0.7647, 0.2647, 0.5000)  2 Ta 2.74, 4 Mo 2.88, 2 Tl 2.96